No. 1
VASP calculation (PBE-GGA) on a geometry-optimized Ta2ReRu structure.

a = 4.530 Å, b = 2.820 Å, c = 5.214 Å
α = 78.30°, β = 90.00°, γ = 90.00°
Fractional coordinates of all 4 atoms:
Ta 0.000 0.995 0.986
Ta 0.500 0.255 0.265
Ru 0.500 0.761 0.768
Re 0.000 0.489 0.482

symmetry	No. 6
M_tot	0.00	μB per cell
energy	-11.509	eV per atom
calculated formation energy	-0.152	eV per atom
theoretical density	16.53	g/cm³

---

No. 2
VASP calculation (PBE-GGA) on a geometry-optimized Cu4Cl3 structure.

a = 6.257 Å, b = 6.257 Å, c = 4.166 Å
α = 90.00°, β = 90.00°, γ = 120.00°
Fractional coordinates of all 7 atoms:
Cu 0.000 0.000 0.250
Cl 0.500 0.000 0.000
Cu 0.667 0.333 0.500
Cl 0.000 0.500 0.000
Cu 0.000 0.000 0.750
Cu 0.333 0.667 0.500
Cl 0.500 0.500 0.000

symmetry	No. 191
M_tot	0.05	μB per cell
energy	-2.561	eV per atom
uncorrected formation energy	571	meV per atom
theoretical density	4.24	g/cm³

---

No. 3
VASP calculation (PBE-GGA) on a geometry-optimized YZrTc structure.

a = 4.672 Å, b = 4.672 Å, c = 4.672 Å
α = 60.00°, β = 60.00°, γ = 60.00°
Fractional coordinates of all 3 atoms:
Zr 0.500 0.500 0.500
Tc 0.750 0.750 0.750
Y 0.000 0.000 0.000

energy above the lowest structure with this stoichiometry	70	kJ/mol of formula units
symmetry	No. 216
M_tot	0.00	μB per cell
energy	-8.342	eV per atom
calculated formation energy	0.117	eV per atom
theoretical density	6.40	g/cm³

---

No. 4
VASP calculation (PBE-GGA) on a geometry-optimized Er2PaCu structure.

a = 3.406 Å, b = 3.406 Å, c = 8.177 Å
α = 90.00°, β = 90.00°, γ = 90.00°
Fractional coordinates of all 4 atoms:
Er 0.000 0.000 0.212
Cu 0.500 0.500 0.000
Pa 0.500 0.500 0.500
Er 0.000 0.000 0.788

energy above the lowest structure with this stoichiometry	0	kJ/mol of formula units
symmetry	No. 123
M_tot	0.23	μB per cell
energy	-5.688	eV per atom
calculated formation energy	-0.009	eV per atom
theoretical density	11.01	g/cm³

---

No. 5
VASP calculation (PBE-GGA) on a geometry-optimized CoReAs2 structure.

a = 3.085 Å, b = 3.085 Å, c = 5.979 Å
α = 90.00°, β = 90.00°, γ = 90.00°
Fractional coordinates of all 4 atoms:
As 0.000 0.000 0.497
Re 0.500 0.500 0.750
As 0.000 0.000 0.003
Co 0.500 0.500 0.250

energy above the lowest structure with this stoichiometry	49	kJ/mol of formula units
symmetry	No. 123
M_tot	1.05	μB per cell
energy	-7.009	eV per atom
calculated formation energy	0.205	eV per atom
theoretical density	11.52	g/cm³

---

No. 6
VASP calculation (PBE-GGA) on a geometry-optimized Nb2CF structure.

a = 5.184 Å, b = 5.184 Å, c = 5.879 Å
α = 63.84°, β = 63.84°, γ = 90.00°
Fractional coordinates of all 8 atoms:
Nb 0.375 0.419 0.750
F 0.000 0.000 0.000
C 0.500 0.500 0.000
Nb 0.875 0.831 0.750
Nb 0.169 0.625 0.250
C 0.250 0.750 0.500
F 0.750 0.250 0.500
Nb 0.581 0.125 0.250

energy above the lowest structure with this stoichiometry	26	kJ/mol of formula units
symmetry	No. 122
M_tot	0.00	μB per cell
energy	-8.059	eV per atom
uncorrected formation energy	-251	meV per atom
theoretical density	5.83	g/cm³

---

No. 7
VASP calculation (PBE-GGA) on a geometry-optimized Tb7Cd2Os2 structure.

a = 3.854 Å, b = 9.739 Å, c = 9.739 Å
α = 57.84°, β = 78.59°, γ = 78.59°
Fractional coordinates of all 11 atoms:
Os 0.744 0.858 0.655
Os 0.256 0.345 0.142
Tb 0.365 0.731 0.539
Tb 0.153 0.109 0.585
Cd 0.500 0.356 0.644
Cd 0.000 0.753 0.247
Tb 0.183 0.718 0.916
Tb 0.817 0.084 0.282
Tb 0.635 0.461 0.269
Tb 0.847 0.415 0.891
Tb 0.500 0.024 0.976

energy above the lowest structure with this stoichiometry	0	kJ/mol of formula units
symmetry	No. 44
M_tot	0.00	μB per cell
energy	-5.360	eV per atom
calculated formation energy	-0.206	eV per atom
theoretical density	9.46	g/cm³

---

No. 8
VASP calculation (PBE-GGA) on a geometry-optimized Th3Au5S12 structure.

a = 13.381 Å, b = 13.381 Å, c = 13.381 Å
α = 109.47°, β = 109.47°, γ = 109.47°
Fractional coordinates of all 80 atoms:
Th 0.625 0.250 0.375
S 0.371 0.957 0.788
S 0.914 0.084 0.871
Au 0.375 0.125 0.750
S 0.457 0.670 0.086
Au 0.250 0.375 0.625
S 0.288 0.871 0.957
Th 0.875 0.750 0.125
S 0.288 0.416 0.830
Au 0.000 0.500 0.500
Th 0.750 0.875 0.625
Au 0.875 0.250 0.625
Au 0.000 0.000 0.000
S 0.170 0.086 0.957
S 0.712 0.129 0.043
S 0.129 0.416 0.086
S 0.788 0.457 0.371
Au 0.500 0.500 0.500
Au 0.750 0.625 0.375
S 0.629 0.043 0.212
Th 0.125 0.875 0.750
S 0.416 0.129 0.586
S 0.788 0.330 0.916
S 0.830 0.914 0.043
S 0.043 0.629 0.712
S 0.914 0.830 0.543
S 0.330 0.543 0.414
S 0.457 0.788 0.871
Th 0.125 0.250 0.875
S 0.670 0.212 0.584
Au 0.125 0.750 0.375
Au 0.000 0.000 0.500
S 0.371 0.414 0.084
S 0.586 0.957 0.670
S 0.629 0.586 0.916
Au 0.500 0.000 0.500
S 0.170 0.084 0.712
Au 0.625 0.875 0.250
Au 0.875 0.625 0.750
S 0.084 0.170 0.212
Au 0.750 0.125 0.875
S 0.212 0.543 0.629
S 0.916 0.830 0.788
S 0.584 0.712 0.670
S 0.584 0.871 0.414
S 0.957 0.586 0.170
S 0.416 0.288 0.330
S 0.543 0.330 0.914
Th 0.625 0.375 0.750
S 0.830 0.916 0.288
S 0.586 0.629 0.416
S 0.543 0.212 0.129
Th 0.875 0.125 0.250
Au 0.500 0.000 0.000
S 0.871 0.584 0.914
S 0.330 0.788 0.416
Th 0.375 0.750 0.625
Au 0.125 0.375 0.250
S 0.414 0.371 0.584
S 0.712 0.584 0.170
Th 0.750 0.375 0.125
S 0.916 0.086 0.629
Au 0.250 0.875 0.125
S 0.871 0.288 0.457
Th 0.375 0.625 0.250
Au 0.375 0.250 0.125
Au 0.500 0.500 0.000
Au 0.625 0.750 0.875
S 0.129 0.712 0.543
S 0.957 0.371 0.288
S 0.670 0.457 0.586
S 0.414 0.043 0.330
S 0.043 0.414 0.830
Au 0.000 0.500 0.000
S 0.084 0.914 0.371
Th 0.250 0.625 0.875
S 0.086 0.916 0.129
S 0.086 0.170 0.457
S 0.212 0.670 0.084
Th 0.250 0.125 0.375

symmetry	No. 230
M_tot	0.00	μB per cell
energy	-5.139	eV per atom
uncorrected formation energy	-730	meV per atom
theoretical density	7.44	g/cm³

---

Computed values of DOS(E_F) (unit: states/eV per cell) for the preceding records, in sequence: 3.52 12.20 2.25 6.42 2.23 9.00 12.81 28.11.